{
  "formula": "CeTm2Ru",
  "functional": "GGA-PBE",
  "state": "optimized geometry",
  "dft_energy_ha_per_atom": -0.2347,
  "n_ef_per_ev_cell": 25.68,
  "formation_energy_mev_per_atom": -347,
  "m_tot_mub_per_fu": 0.41,
  "e_above_lowest_polymorph_ev_per_atom": 0.000,
  "cell": [[6.2828, 0.0000, 0.0000], [0.0000, 7.0684, 0.0000], [0.0000, 0.0000, 9.4025]],
  "species": ["Ce", "Ce", "Ce", "Ce", "Tm", "Tm", "Tm", "Tm", "Tm", "Tm", "Tm", "Tm", "Ru", "Ru", "Ru", "Ru"],
  "fractional_positions": [[0.6419, 0.5498, 0.2500], [0.8581, 0.0498, 0.2500], [0.3581, 0.4502, 0.7500], [0.1419, 0.9502, 0.7500], [0.1683, 0.6735, 0.0646], [0.3317, 0.1735, 0.4354], [0.8317, 0.3265, 0.5646], [0.6683, 0.8265, 0.9354], [0.8317, 0.3265, 0.9354], [0.6683, 0.8265, 0.5646], [0.1683, 0.6735, 0.4354], [0.3317, 0.1735, 0.0646], [0.0219, 0.3637, 0.2500], [0.4781, 0.8637, 0.2500], [0.9781, 0.6363, 0.7500], [0.5219, 0.1363, 0.7500]]
}